Entry 1:
5
Lattice="4.562 0.000 0.000 0.000 4.562 0.000 0.000 0.000 4.562" Properties=species:S:1:pos:R:3 comment="YV3Tc, optimized geometry, DFT GGA-PBE" formation_energy_ev_per_atom=2.203 dos_ef_per_ev_cell=5.56 polymorph_energy_mev_per_atom=1544 pbc="T T T"
Y 0.000 0.000 0.000
V 0.000 0.000 2.281
V 0.000 2.281 0.000
V 2.281 0.000 0.000
Tc 2.281 2.281 2.281

Entry 2:
6
Lattice="1.682 -7.072 0.000 1.682 7.072 0.000 0.000 0.000 4.771" Properties=species:S:1:pos:R:3 comment="YVTc, optimized geometry, DFT GGA-PBE" formation_energy_ev_per_atom=0.028 dos_ef_per_ev_cell=5.44 pbc="T T T"
Y 1.682 5.949 3.578
Y 1.682 -5.949 1.193
V 1.682 3.653 1.193
V 1.682 -3.653 3.578
Tc 1.682 1.724 3.578
Tc 1.682 -1.724 1.193

Entry 3:
5
Lattice="4.565 0.000 0.000 0.000 4.565 0.000 0.000 0.000 4.565" Properties=species:S:1:pos:R:3 comment="YVTc3, optimized geometry, DFT GGA-PBE" formation_energy_ev_per_atom=0.598 dos_ef_per_ev_cell=6.83 polymorph_energy_mev_per_atom=0 pbc="T T T"
Y 0.000 0.000 0.000
V 2.282 2.282 2.282
Tc 0.000 2.282 2.282
Tc 2.282 0.000 2.282
Tc 2.282 2.282 0.000

Entry 4:
5
Lattice="-2.042 2.042 5.432 2.042 -2.042 5.432 2.042 2.042 -5.432" Properties=species:S:1:pos:R:3 comment="YV2Tc2, optimized geometry, DFT GGA-PBE" formation_energy_ev_per_atom=-0.035 dos_ef_per_ev_cell=6.23 polymorph_energy_mev_per_atom=0 pbc="T T T"
Y 0.000 0.000 0.000
V 2.042 0.000 2.716
V 0.000 2.042 2.716
Tc 0.000 0.000 4.110
Tc 0.000 0.000 6.755

Entry 5:
4
Lattice="0.000 3.515 3.515 3.515 0.000 3.515 3.515 3.515 0.000" Properties=species:S:1:pos:R:3 comment="Y2VTc, optimized geometry, DFT GGA-PBE" formation_energy_ev_per_atom=0.279 dos_ef_per_ev_cell=6.35 polymorph_energy_mev_per_atom=0 pbc="T T T"
Y 1.758 1.758 1.758
Y 5.273 5.273 5.273
V 0.000 0.000 0.000
Tc 3.515 3.515 3.515

Entry 6:
5
Lattice="4.625 0.000 0.000 0.000 4.625 0.000 0.000 0.000 4.625" Properties=species:S:1:pos:R:3 comment="YV3Tc, optimized geometry, DFT GGA-PBE" formation_energy_ev_per_atom=0.658 dos_ef_per_ev_cell=7.53 polymorph_energy_mev_per_atom=0 pbc="T T T"
Y 0.000 0.000 0.000
V 0.000 2.312 2.312
V 2.312 0.000 2.312
V 2.312 2.312 0.000
Tc 2.312 2.312 2.312

Entry 7:
6
Lattice="0.000 3.461 3.461 3.461 0.000 3.461 3.461 3.461 0.000" Properties=species:S:1:pos:R:3 comment="VZn4Tc, optimized geometry, DFT GGA-PBE" formation_energy_ev_per_atom=0.021 dos_ef_per_ev_cell=3.49 pbc="T T T"
V 0.000 0.000 0.000
Zn 4.325 2.597 2.597
Zn 2.597 4.325 2.597
Zn 2.597 2.597 4.325
Zn 4.325 4.325 4.325
Tc 1.731 1.731 1.731

Entry 8:
10
Lattice="6.613 0.000 0.000 0.000 6.613 0.000 0.000 0.000 3.197" Properties=species:S:1:pos:R:3 comment="V2Zn2Tc, optimized geometry, DFT GGA-PBE" formation_energy_ev_per_atom=0.167 dos_ef_per_ev_cell=5.56 pbc="T T T"
V 1.168 2.139 0.000
V 2.139 5.445 0.000
V 4.474 1.168 0.000
V 5.445 4.474 0.000
Zn 0.834 4.140 1.599
Zn 2.473 0.834 1.599
Zn 4.140 5.779 1.599
Zn 5.779 2.473 1.599
Tc 0.000 0.000 1.599
Tc 3.307 3.307 1.599

Entry 9:
10
Lattice="6.578 0.000 0.000 0.000 6.578 0.000 0.000 0.000 3.299" Properties=species:S:1:pos:R:3 comment="VZn2Tc2, optimized geometry, DFT GGA-PBE" formation_energy_ev_per_atom=0.247 dos_ef_per_ev_cell=8.65 pbc="T T T"
V 0.000 0.000 0.000
V 3.289 3.289 0.000
Zn 0.833 2.456 0.000
Zn 2.456 5.745 0.000
Zn 4.122 0.833 0.000
Zn 5.745 4.122 0.000
Tc 1.154 4.443 1.649
Tc 2.135 1.154 1.649
Tc 4.443 5.424 1.649
Tc 5.424 2.135 1.649

Entry 10:
4
Lattice="3.081 0.000 0.000 0.000 3.081 0.000 0.000 0.000 5.851" Properties=species:S:1:pos:R:3 comment="V2ZnTc, optimized geometry, DFT GGA-PBE" formation_energy_ev_per_atom=-0.105 dos_ef_per_ev_cell=3.57 pbc="T T T"
V 0.000 0.000 1.409
V 0.000 0.000 4.441
Zn 1.541 1.541 2.925
Tc 1.541 1.541 0.000

Entry 11:
8
Lattice="-3.424 3.424 2.593 3.424 -3.424 2.593 3.424 3.424 -2.593" Properties=species:S:1:pos:R:3 comment="V2ZnTc, optimized geometry, DFT GGA-PBE" formation_energy_ev_per_atom=0.441 dos_ef_per_ev_cell=8.21 pbc="T T T"
V 5.136 1.519 -0.648
V 1.519 1.712 0.648
V -1.712 1.905 1.945
V 1.905 1.712 3.241
Zn 3.424 0.000 1.297
Zn 0.000 0.000 2.593
Tc 0.000 0.000 0.000
Tc 0.000 3.424 1.297

Entry 12:
7
Lattice="-2.200 2.200 6.089 2.200 -2.200 6.089 2.200 2.200 -6.089" Properties=species:S:1:pos:R:3 comment="V4ZnTc2, optimized geometry, DFT GGA-PBE" formation_energy_ev_per_atom=1.041 dos_ef_per_ev_cell=10.30 pbc="T T T"
V 2.200 0.000 0.000
V 0.000 0.000 2.418
V 0.000 2.200 0.000
V 0.000 0.000 9.761
Zn 0.000 0.000 0.000
Tc 0.000 0.000 4.631
Tc 0.000 0.000 7.548

Entry 13:
5
Lattice="4.999 0.000 0.000 0.000 4.999 0.000 0.000 0.000 4.999" Properties=species:S:1:pos:R:3 comment="Zr3VTc, optimized geometry, DFT GGA-PBE" formation_energy_ev_per_atom=0.748 dos_ef_per_ev_cell=9.23 polymorph_energy_mev_per_atom=0 pbc="T T T"
Zr 0.000 0.000 2.500
Zr 0.000 2.500 0.000
Zr 2.500 0.000 0.000
V 2.500 2.500 2.500
Tc 0.000 0.000 0.000

Entry 14:
6
Lattice="2.653 1.532 4.132 -2.653 1.532 4.132 0.000 -3.063 4.132" Properties=species:S:1:pos:R:3 comment="Zr2V3Tc, optimized geometry, DFT GGA-PBE" formation_energy_ev_per_atom=-0.204 dos_ef_per_ev_cell=8.94 pbc="T T T"
Zr 0.000 0.000 1.555
Zr 0.000 0.000 10.841
V -1.326 -0.766 4.132
V -1.326 0.766 8.264
V 0.000 1.532 4.132
Tc 0.000 0.000 6.198

Entry 15:
12
Lattice="4.673 0.000 0.000 0.000 6.617 0.000 -2.346 0.000 7.006" Properties=species:S:1:pos:R:3 comment="Zr6VTc5, optimized geometry, DFT GGA-PBE" formation_energy_ev_per_atom=-0.291 dos_ef_per_ev_cell=9.75 pbc="T T T"
Zr 0.000 1.617 0.000
Zr 0.000 5.001 0.000
Zr -0.006 1.640 4.640
Zr -0.006 4.977 4.640
Zr 2.333 1.640 2.366
Zr 2.333 4.977 2.366
V 2.336 3.309 0.000
Tc -0.004 3.309 2.283
Tc -0.003 0.000 2.343
Tc 2.336 0.000 0.000
Tc 2.330 0.000 4.663
Tc 2.331 3.309 4.723

Entry 16:
4
Lattice="4.693 0.000 0.000 0.000 4.693 0.000 0.000 0.000 3.322" Properties=species:S:1:pos:R:3 comment="Zr2VTc, optimized geometry, DFT GGA-PBE" formation_energy_ev_per_atom=-0.110 dos_ef_per_ev_cell=3.24 polymorph_energy_mev_per_atom=1 pbc="T T T"
Zr 0.000 2.346 0.000
Zr 2.346 0.000 0.000
V 0.000 0.000 1.661
Tc 2.346 2.346 1.661

Entry 17:
6
Lattice="0.000 3.571 3.571 3.571 0.000 3.571 3.571 3.571 0.000" Properties=species:S:1:pos:R:3 comment="ZrV4Tc, optimized geometry, DFT GGA-PBE" formation_energy_ev_per_atom=-0.054 dos_ef_per_ev_cell=4.57 pbc="T T T"
Zr 0.000 0.000 0.000
V 4.464 2.678 2.678
V 2.678 4.464 2.678
V 2.678 2.678 4.464
V 4.464 4.464 4.464
Tc 1.786 1.786 1.786

Entry 18:
8
Lattice="3.220 0.000 0.000 0.000 3.220 0.000 0.000 0.000 13.014" Properties=species:S:1:pos:R:3 comment="Zr3VTc4, optimized geometry, DFT GGA-PBE" formation_energy_ev_per_atom=-0.310 dos_ef_per_ev_cell=7.27 pbc="T T T"
Zr 0.000 0.000 0.000
Zr 0.000 0.000 3.342
Zr 0.000 0.000 9.672
V 0.000 0.000 6.507
Tc 1.610 1.610 1.688
Tc 1.610 1.610 5.069
Tc 1.610 1.610 7.946
Tc 1.610 1.610 11.326

Entry 19:
8
Lattice="-3.657 3.657 2.865 3.657 -3.657 2.865 3.657 3.657 -2.865" Properties=species:S:1:pos:R:3 comment="Zr2VTc, optimized geometry, DFT GGA-PBE" formation_energy_ev_per_atom=0.474 dos_ef_per_ev_cell=9.77 polymorph_energy_mev_per_atom=586 pbc="T T T"
Zr 5.486 1.740 -0.716
Zr 1.740 1.829 0.716
Zr -1.829 1.917 2.148
Zr 1.917 1.829 3.581
V 3.657 0.000 1.432
V 0.000 0.000 2.865
Tc 0.000 0.000 0.000
Tc 0.000 3.657 1.432

Entry 20:
7
Lattice="-2.255 2.255 6.996 2.255 -2.255 6.996 2.255 2.255 -6.996" Properties=species:S:1:pos:R:3 comment="Zr2V4Tc, optimized geometry, DFT GGA-PBE" formation_energy_ev_per_atom=0.853 dos_ef_per_ev_cell=10.36 pbc="T T T"
Zr 0.000 0.000 1.728
Zr 0.000 0.000 12.265
V 2.255 0.000 0.000
V 0.000 0.000 4.592
V 0.000 2.255 0.000
V 0.000 0.000 9.401
Tc 0.000 0.000 6.996